Entry 1:
# Sc2H6Ru

An optimized crystal structure of Sc2H6Ru (PBE, Alexandria).

Structure (POSCAR):
```
Sc2H6Ru
1.0
-1.650 2.216 4.937
1.650 -2.216 4.937
1.650 2.216 -4.937
Sc H Ru
2 6 1
Direct
0.160 0.160 0.000 Sc
0.840 0.840 0.000 Sc
0.106 0.340 0.766 H
0.292 0.000 0.292 H
0.426 0.660 0.766 H
0.574 0.340 0.234 H
0.708 0.000 0.708 H
0.894 0.660 0.234 H
0.500 0.500 0.000 Ru
```

Output
N(E_F): 0.364 states/eV/atom
VASP energy: -0.372 Ry per atom
V: 8.0 Å³/atom


Entry 2:
# CeSmGa2Pt5

An optimized crystal structure of CeSmGa2Pt5 (PBE, Alexandria).

Structure (POSCAR):
```
CeSmGa2Pt5
1.0
4.244 0.000 0.000
0.000 4.244 0.000
0.000 0.000 9.357
Ce Sm Ga Pt
1 1 2 5
Direct
0.000 0.000 0.000 Ce
0.000 0.000 0.500 Sm
0.500 0.500 0.134 Ga
0.500 0.500 0.866 Ga
0.000 0.500 0.275 Pt
0.000 0.500 0.725 Pt
0.500 0.000 0.275 Pt
0.500 0.000 0.725 Pt
0.500 0.500 0.500 Pt
```

Output
N(E_F): 1.162 states/eV/atom
ΔH_f (0 K): -0.909 eV per atom
V: 18.7 Å³/atom


Entry 3:
# CoRuCl3

An optimized crystal structure of CoRuCl3 (PBE, Alexandria).

Structure (POSCAR):
```
CoRuCl3
1.0
5.858 -5.750 0.000
5.858 5.750 0.000
-0.935 0.000 5.775
Co Ru Cl
4 4 12
Direct
0.092 0.908 0.750 Co
0.220 0.780 0.250 Co
0.780 0.220 0.750 Co
0.908 0.092 0.250 Co
0.344 0.452 0.728 Ru
0.452 0.344 0.228 Ru
0.548 0.656 0.772 Ru
0.656 0.548 0.272 Ru
0.050 0.190 0.630 Cl
0.131 0.639 0.872 Cl
0.190 0.050 0.130 Cl
0.234 0.504 0.348 Cl
0.361 0.869 0.628 Cl
0.496 0.766 0.152 Cl
0.504 0.234 0.848 Cl
0.639 0.131 0.372 Cl
0.766 0.496 0.652 Cl
0.810 0.950 0.870 Cl
0.869 0.361 0.128 Cl
0.950 0.810 0.370 Cl
```

Output
N(E_F): 1.192 states/eV/atom
ΔE_f (raw): -150 meV/atom
V: 19.5 Å³/atom


Entry 4:
# AcLaTb2Tl4

An optimized crystal structure of AcLaTb2Tl4 (PBE, Alexandria).

Structure (POSCAR):
```
AcLaTb2Tl4
1.0
2.787 1.609 9.116
-2.787 1.609 9.116
0.000 -3.218 9.116
Ac La Tb Tl
1 1 2 4
Direct
0.000 0.000 0.000 Ac
0.500 0.500 0.500 La
0.250 0.250 0.250 Tb
0.750 0.750 0.750 Tb
0.127 0.127 0.127 Tl
0.377 0.377 0.377 Tl
0.623 0.623 0.623 Tl
0.873 0.873 0.873 Tl
```

Output
N(E_F): 0.847 states/eV/atom
ΔH_f (0 K): -0.354 eV per atom
V: 30.7 Å³/atom


Entry 5:
# HfZr2Se5

An optimized crystal structure of HfZr2Se5 (PBE, Alexandria).

Structure (POSCAR):
```
HfZr2Se5
1.0
2.615 -6.403 0.000
2.615 6.403 0.000
0.000 0.000 12.842
Hf Zr Se
2 4 10
Direct
0.192 0.808 0.750 Hf
0.808 0.192 0.250 Hf
0.167 0.833 0.038 Zr
0.167 0.833 0.462 Zr
0.833 0.167 0.538 Zr
0.833 0.167 0.962 Zr
0.041 0.959 0.620 Se
0.041 0.959 0.880 Se
0.249 0.751 0.250 Se
0.337 0.663 0.589 Se
0.337 0.663 0.911 Se
0.663 0.337 0.089 Se
0.663 0.337 0.411 Se
0.751 0.249 0.750 Se
0.959 0.041 0.120 Se
0.959 0.041 0.380 Se
```

Output
N(E_F): 0.276 states/eV/atom
ΔE_f (raw): -1217 meV/atom
V: 26.9 Å³/atom


Entry 6:
# RuPb2O4F

An optimized crystal structure of RuPb2O4F (PBE, Alexandria).

Structure (POSCAR):
```
RuPb2O4F
1.0
5.070 -1.685 0.000
5.070 1.685 0.000
-3.013 0.000 6.723
Ru Pb O F
1 2 4 1
Direct
0.000 0.000 0.000 Ru
0.184 0.184 0.720 Pb
0.816 0.816 0.280 Pb
0.140 0.140 0.267 O
0.394 0.394 0.048 O
0.606 0.606 0.952 O
0.860 0.860 0.733 O
0.500 0.500 0.500 F
```

Output
N(E_F): 0.293 states/eV/atom
ΔE_f (raw): -1151 meV/atom
V: 14.4 Å³/atom


Entry 7:
# Pm5MgSn8

An optimized crystal structure of Pm5MgSn8 (PBE, Alexandria).

Structure (POSCAR):
```
Pm5MgSn8
1.0
-4.792 4.792 4.408
4.792 -4.792 4.408
4.792 4.792 -4.408
Pm Mg Sn
5 1 8
Direct
0.000 0.000 0.000 Pm
0.252 0.093 0.607 Pm
0.354 0.748 0.841 Pm
0.487 0.646 0.393 Pm
0.907 0.513 0.159 Pm
0.750 0.250 0.500 Mg
0.102 0.333 0.413 Sn
0.129 0.361 0.896 Sn
0.311 0.898 0.231 Sn
0.465 0.233 0.104 Sn
0.639 0.535 0.768 Sn
0.667 0.080 0.769 Sn
0.767 0.871 0.232 Sn
0.920 0.689 0.587 Sn
```

Output
N(E_F): 0.558 states/eV/atom
ΔH_f (0 K): -0.473 eV per atom
V: 28.9 Å³/atom


Entry 8:
# AlI3F

An optimized crystal structure of AlI3F (PBE, Alexandria).

Structure (POSCAR):
```
AlI3F
1.0
5.488 0.000 0.000
0.000 5.488 0.000
0.000 0.000 5.488
Al I F
1 3 1
Direct
0.000 0.000 0.000 Al
0.000 0.000 0.500 I
0.000 0.500 0.000 I
0.500 0.000 0.000 I
0.500 0.500 0.500 F
```

Output
N(E_F): 1.914 states/eV/atom
ΔE_f (raw): -183 meV/atom
V: 33.1 Å³/atom


Q: Which of these has the highest N(E_F)?
A: AlI3F


Q: Look up the N(E_F) of the second one.
A: 1.162 states/eV/atom


Q: What is the N(E_F) in the sixth record?
A: 0.293 states/eV/atom


Q: The lowest V belongs to which entry?
A: Sc2H6Ru